First-principles (PBE) data for crystalline LaCdGa2Ni at its relaxed geometry, as listed in Alexandria via LeMat-Bulk.

Calculated values
For the volume, the calculation gives 21.4 Å³/atom. The total energy is -3.885 eV/atom. For the polymorph energy (0 for the lowest one), the calculation gives 0.00 eV/f.u. As for the formation enthalpy at 0 K: -0.35 eV/atom. As for the mass density: 6967 kg/m3. For the density of states at the Fermi level, the calculation gives 0.70 states/eV/atom. Its magnetization is 0.00 μB per formula unit.

a b c (Å): 4.6666 4.6666 4.9192
angles (deg): 90.00 90.00 90.00
With the nearest neighbours (Å) after each atom.
Positions (direct):
1 La 0.5000 0.5000 0.5000  4 Cd 3.30, 8 Ga 3.39
2 Ga 0.5000 0.0000 0.0000  2 Ni 2.33
3 Cd 0.0000 0.0000 0.5000  2 Ni 2.46
4 Ga 0.0000 0.5000 0.0000  2 Ni 2.33
5 Ni 0.0000 0.0000 0.0000  4 Ga 2.33, 2 Cd 2.46